A relaxed Er3MnO crystal. Source: the Alexandria database, functional PBE+U. Values from VASP.

Structure (Quantum ESPRESSO input):
```
&SYSTEM
  ibrav = 0, nat = 5, ntyp = 3
/
ATOMIC_SPECIES
Er 167.26 Er.upf
O 16.00 O.upf
Mn 54.94 Mn.upf
ATOMIC_POSITIONS angstrom
Er 0.000 0.000 2.373
O 0.000 0.000 0.000
Mn 2.373 2.373 2.373
Er 2.373 0.000 0.000
Er 0.000 2.373 0.000
CELL_PARAMETERS angstrom
4.746 0.000 0.000
0.000 4.746 0.000
0.000 0.000 4.746
```

Summary:
Energy: -0.4624 Ry per atom